DFT (GGA-PBE) results for a relaxed structure of Sr4GaSn.

```
12
Lattice="7.280 0.031 0.000 -1.827 8.913 0.000 -2.727 -4.472 7.526" Properties=species:S:1:pos:R:3 pbc="T T T"
Sr -2.769 -1.820 6.673
Sr 2.649 3.383 4.921
Sr -0.871 1.805 6.673
Sr -0.835 5.545 4.921
Sr 3.562 -1.073 2.605
Sr 3.598 2.667 0.852
Sr 0.078 1.089 2.605
Sr 5.496 6.292 0.852
Ga -2.734 4.449 7.387
Ga 5.460 0.023 0.138
Sn 0.907 4.464 2.094
Sn 1.820 0.008 5.432
```

**Total magnetic moment**: 0.000 μB/f.u.
**DOS at the Fermi energy**: 0.766 states/eV/atom
**ΔE_f**: -2.422 eV per formula unit